# WSeIN2, relaxed, DFT GGA-PBE
# N(E_F), states/eV/atom: 1.19
# Total magnetic moment, μB per formula unit: 0.000
# E above lowest polymorph, eV per atom: 0.149
# Formation energy (no corrections), kJ per mole of atoms: 70
data_WSeIN2
_symmetry_space_group_name_H-M 'P 4/m m m'
_symmetry_Int_Tables_number 123
_symmetry_space_group_name_Hall '-P 4 2'
_cell_length_a 3.963
_cell_length_b 3.963
_cell_length_c 6.075
_cell_angle_alpha 90.00
_cell_angle_beta 90.00
_cell_angle_gamma 90.00
loop_
_atom_site_label
_atom_site_fract_x
_atom_site_fract_y
_atom_site_fract_z
W1 0.000 0.000 0.000
Se1 0.500 0.500 0.500
I1 0.000 0.000 0.500
N1 0.000 0.500 0.000